[1]
An optimized crystal structure of CaCdSe2. Source: Alexandria via LeMat-Bulk, functional GGA-PBEsol.

Values from the calculation:
Magnetization: 0.0 μB/f.u.
VASP energy: -3.77 eV per atom

Cell and atoms, written as CIF:
```
data_CaCdSe2
_cell_length_a 4.4759
_cell_length_b 4.4759
_cell_length_c 22.8943
_cell_angle_alpha 90.00
_cell_angle_beta 90.00
_cell_angle_gamma 120.00
_symmetry_space_group_name_H-M 'R -3 m'
_symmetry_Int_Tables_number 166
_symmetry_space_group_name_Hall '-R 3 2"'
loop_
_atom_site_label
_atom_site_type_symbol
_atom_site_fract_x
_atom_site_fract_y
_atom_site_fract_z
Ca1 Ca 0.0000 0.0000 0.0000
Cd1 Cd 0.0000 0.0000 0.5000
Se1 Se 0.0000 0.0000 0.3942
```


[2]
An optimized crystal structure of La3Re2. Source: Alexandria via LeMat-Bulk, functional GGA-PBEsol.

Values from the calculation:
E above lowest polymorph: 240 meV/atom
Magnetization: 0.0 μB/f.u.
VASP energy: -7.83 eV per atom

Cell and atoms, written as CIF:
```
data_La3Re2
_cell_length_a 3.3749
_cell_length_b 3.3749
_cell_length_c 35.0640
_cell_angle_alpha 90.00
_cell_angle_beta 90.00
_cell_angle_gamma 120.00
_symmetry_space_group_name_H-M 'R -3 m'
_symmetry_Int_Tables_number 166
_symmetry_space_group_name_Hall '-R 3 2"'
loop_
_atom_site_label
_atom_site_type_symbol
_atom_site_fract_x
_atom_site_fract_y
_atom_site_fract_z
La1 La 0.0000 0.0000 0.0000
La2 La 0.0000 0.0000 0.2081
Re1 Re 0.0000 0.0000 0.3977
```


[3]
An optimized crystal structure of KLi2Os. Source: Alexandria via LeMat-Bulk, functional GGA-PBEsol.

Values from the calculation:
Magnetization: 1.2 μB/f.u.
VASP energy: -3.19 eV per atom

Cell and atoms, written as CIF:
```
data_KLi2Os
_cell_length_a 6.6948
_cell_length_b 6.6948
_cell_length_c 6.6948
_cell_angle_alpha 90.00
_cell_angle_beta 90.00
_cell_angle_gamma 90.00
_symmetry_space_group_name_H-M 'F m -3 m'
_symmetry_Int_Tables_number 225
_symmetry_space_group_name_Hall '-F 4 2 3'
loop_
_atom_site_label
_atom_site_type_symbol
_atom_site_fract_x
_atom_site_fract_y
_atom_site_fract_z
K1 K 0.0000 0.0000 0.0000
Li1 Li 0.2500 0.2500 0.2500
Os1 Os 0.0000 0.0000 0.5000
```


[4]
An optimized crystal structure of BeTlCu2. Source: Alexandria via LeMat-Bulk, functional GGA-PBEsol.

Values from the calculation:
E above lowest polymorph: 0 meV/atom
Magnetization: 0.0 μB/f.u.
VASP energy: -3.60 eV per atom

Cell and atoms, written as CIF:
```
data_BeTlCu2
_cell_length_a 2.9497
_cell_length_b 2.9497
_cell_length_c 6.2817
_cell_angle_alpha 90.00
_cell_angle_beta 90.00
_cell_angle_gamma 90.00
_symmetry_space_group_name_H-M 'P 4/m m m'
_symmetry_Int_Tables_number 123
_symmetry_space_group_name_Hall '-P 4 2'
loop_
_atom_site_label
_atom_site_type_symbol
_atom_site_fract_x
_atom_site_fract_y
_atom_site_fract_z
Be1 Be 0.0000 0.0000 0.0000
Tl1 Tl 0.0000 0.0000 0.5000
Cu1 Cu 0.5000 0.5000 0.1880
```


[5]
An optimized crystal structure of Ca2ZrReAg. Source: Alexandria via LeMat-Bulk, functional GGA-PBEsol.

Values from the calculation:
Magnetization: 1.3 μB/f.u.
VASP energy: -4.59 eV per atom

Cell and atoms, written as CIF:
```
data_Ca2ZrReAg
_cell_length_a 5.1026
_cell_length_b 5.1026
_cell_length_c 5.2820
_cell_angle_alpha 90.00
_cell_angle_beta 90.00
_cell_angle_gamma 90.00
_symmetry_space_group_name_H-M 'P 4/m m m'
_symmetry_Int_Tables_number 123
_symmetry_space_group_name_Hall '-P 4 2'
loop_
_atom_site_label
_atom_site_type_symbol
_atom_site_fract_x
_atom_site_fract_y
_atom_site_fract_z
Ca1 Ca 0.0000 0.5000 0.0000
Zr1 Zr 0.0000 0.0000 0.5000
Re1 Re 0.5000 0.5000 0.5000
Ag1 Ag 0.0000 0.0000 0.0000
```


[6]
An optimized crystal structure of SnPdI2N. Source: Alexandria via LeMat-Bulk, functional GGA-PBEsol.

Values from the calculation:
Magnetization: 0.0 μB/f.u.
VASP energy: -4.03 eV per atom

Cell and atoms, written as CIF:
```
data_SnPdI2N
_cell_length_a 5.7638
_cell_length_b 5.7638
_cell_length_c 3.7072
_cell_angle_alpha 90.00
_cell_angle_beta 90.00
_cell_angle_gamma 90.00
_symmetry_space_group_name_H-M 'P 4/m m m'
_symmetry_Int_Tables_number 123
_symmetry_space_group_name_Hall '-P 4 2'
loop_
_atom_site_label
_atom_site_type_symbol
_atom_site_fract_x
_atom_site_fract_y
_atom_site_fract_z
Sn1 Sn 0.0000 0.0000 0.0000
Pd1 Pd 0.5000 0.5000 0.5000
I1 I 0.0000 0.5000 0.5000
N1 N 0.5000 0.5000 0.0000
```


[7]
An optimized crystal structure of NbSeCl3. Source: Alexandria via LeMat-Bulk, functional GGA-PBEsol.

Values from the calculation:
Magnetization: 3.8 μB/f.u.
VASP energy: -3.39 eV per atom

Cell and atoms, written as CIF:
```
data_NbSeCl3
_cell_length_a 5.0028
_cell_length_b 5.0028
_cell_length_c 5.0028
_cell_angle_alpha 90.00
_cell_angle_beta 90.00
_cell_angle_gamma 90.00
_symmetry_space_group_name_H-M 'P m -3 m'
_symmetry_Int_Tables_number 221
_symmetry_space_group_name_Hall '-P 4 2 3'
loop_
_atom_site_label
_atom_site_type_symbol
_atom_site_fract_x
_atom_site_fract_y
_atom_site_fract_z
Nb1 Nb 0.0000 0.0000 0.0000
Se1 Se 0.5000 0.5000 0.5000
Cl1 Cl 0.0000 0.5000 0.5000
```


[8]
An optimized crystal structure of Sc2AgS. Source: Alexandria via LeMat-Bulk, functional GGA-PBEsol.

Values from the calculation:
Magnetization: 0.0 μB/f.u.
VASP energy: -5.54 eV per atom

Cell and atoms, written as CIF:
```
data_Sc2AgS
_cell_length_a 3.8732
_cell_length_b 3.8732
_cell_length_c 23.7183
_cell_angle_alpha 90.00
_cell_angle_beta 90.00
_cell_angle_gamma 120.00
_symmetry_space_group_name_H-M 'R -3 m'
_symmetry_Int_Tables_number 166
_symmetry_space_group_name_Hall '-R 3 2"'
loop_
_atom_site_label
_atom_site_type_symbol
_atom_site_fract_x
_atom_site_fract_y
_atom_site_fract_z
Sc1 Sc 0.0000 0.0000 0.0976
Ag1 Ag 0.0000 0.0000 0.5000
S1 S 0.0000 0.0000 0.0000
```


[9]
An optimized crystal structure of ScBe2. Source: Alexandria via LeMat-Bulk, functional GGA-PBEsol.

Values from the calculation:
Magnetization: 0.0 μB/f.u.
VASP energy: -4.80 eV per atom

Cell and atoms, written as CIF:
```
data_ScBe2
_cell_length_a 2.7913
_cell_length_b 2.8285
_cell_length_c 9.6907
_cell_angle_alpha 90.00
_cell_angle_beta 90.00
_cell_angle_gamma 90.00
_symmetry_space_group_name_H-M 'I m m m'
_symmetry_Int_Tables_number 71
_symmetry_space_group_name_Hall '-I 2 2'
loop_
_atom_site_label
_atom_site_type_symbol
_atom_site_fract_x
_atom_site_fract_y
_atom_site_fract_z
Sc1 Sc 0.0000 0.0000 0.0000
Be1 Be 0.0000 0.0000 0.3019
```


[10]
An optimized crystal structure of Mn7SiO12. Source: Alexandria via LeMat-Bulk, functional GGA-PBEsol.

Values from the calculation:
Magnetization: 29.0 μB/f.u.
VASP energy: -8.59 eV per atom

Cell and atoms, written as CIF:
```
data_Mn7SiO12
_cell_length_a 9.4272
_cell_length_b 9.4272
_cell_length_c 18.6120
_cell_angle_alpha 90.00
_cell_angle_beta 90.00
_cell_angle_gamma 90.00
_symmetry_space_group_name_H-M 'I 41/a c d'
_symmetry_Int_Tables_number 142
loop_
_symmetry_equiv_pos_as_xyz
'x,y,z'
'-x,-y,-z'
'-y+1/4,x+3/4,z+1/4'
'y+1/4,-x+3/4,-z+1/4'
'-x+1/2,-y,z+1/2'
'x+1/2,y,-z+1/2'
'y+1/4,-x+1/4,z+3/4'
'-y+1/4,x+1/4,-z+3/4'
'x,-y,-z+1/2'
'-x,y,z+1/2'
'-y+1/4,-x+1/4,-z+1/4'
'y+1/4,x+1/4,z+1/4'
'-x+1/2,y,-z'
'x+1/2,-y,z'
'y+1/4,x+3/4,-z+3/4'
'-y+1/4,-x+3/4,z+3/4'
'x+1/2,y+1/2,z+1/2'
'-x+1/2,-y+1/2,-z+1/2'
'-y+3/4,x+1/4,z+3/4'
'y+3/4,-x+1/4,-z+3/4'
'-x,-y+1/2,z'
'x,y+1/2,-z'
'y+3/4,-x+3/4,z+1/4'
'-y+3/4,x+3/4,-z+1/4'
'x+1/2,-y+1/2,-z'
'-x+1/2,y+1/2,z'
'-y+3/4,-x+3/4,-z+3/4'
'y+3/4,x+3/4,z+3/4'
'-x,y+1/2,-z+1/2'
'x,-y+1/2,z+1/2'
'y+3/4,x+1/4,-z+1/4'
'-y+3/4,-x+1/4,z+1/4'
loop_
_atom_site_label
_atom_site_type_symbol
_atom_site_fract_x
_atom_site_fract_y
_atom_site_fract_z
Mn1 Mn 0.0000 0.0000 0.0000
Mn2 Mn 0.0000 0.2500 0.1250
Mn3 Mn 0.0380 0.0000 0.2500
Mn4 Mn 0.2300 0.0200 0.6250
Si1 Si 0.0000 0.2500 0.3750
O1 O 0.0774 0.1319 0.9257
O2 O 0.0986 0.1043 0.6939
O3 O 0.1460 0.0695 0.0570
```


[11]
An optimized crystal structure of RbCo2P2. Source: Alexandria via LeMat-Bulk, functional GGA-PBEsol.

Values from the calculation:
Magnetization: 0.0 μB/f.u.
VASP energy: -6.23 eV per atom

Cell and atoms, written as CIF:
```
data_RbCo2P2
_cell_length_a 3.6293
_cell_length_b 3.6293
_cell_length_c 13.6198
_cell_angle_alpha 90.00
_cell_angle_beta 90.00
_cell_angle_gamma 90.00
_symmetry_space_group_name_H-M 'I 4/m m m'
_symmetry_Int_Tables_number 139
_symmetry_space_group_name_Hall '-I 4 2'
loop_
_atom_site_label
_atom_site_type_symbol
_atom_site_fract_x
_atom_site_fract_y
_atom_site_fract_z
Rb1 Rb 0.0000 0.0000 0.0000
Co1 Co 0.0000 0.5000 0.2500
P1 P 0.0000 0.0000 0.3380
```


[12]
An optimized crystal structure of LaAl2Br. Source: Alexandria via LeMat-Bulk, functional GGA-PBEsol.

Values from the calculation:
E above lowest polymorph: 184 meV/atom
Magnetization: 0.0 μB/f.u.
VASP energy: -4.09 eV per atom

Cell and atoms, written as CIF:
```
data_LaAl2Br
_cell_length_a 3.4871
_cell_length_b 5.1279
_cell_length_c 5.6541
_cell_angle_alpha 90.00
_cell_angle_beta 90.00
_cell_angle_gamma 90.00
_symmetry_space_group_name_H-M 'P m m m'
_symmetry_Int_Tables_number 47
loop_
_symmetry_equiv_pos_as_xyz
'x,y,z'
'-x,-y,-z'
'-x,-y,z'
'x,y,-z'
'x,-y,-z'
'-x,y,z'
'-x,y,-z'
'x,-y,z'
loop_
_atom_site_label
_atom_site_type_symbol
_atom_site_fract_x
_atom_site_fract_y
_atom_site_fract_z
La1 La 0.0000 0.0000 0.0000
Al1 Al 0.5000 0.5000 0.2487
Br1 Br 0.0000 0.0000 0.5000
```


[13]
An optimized crystal structure of K7Bi9O24. Source: Alexandria via LeMat-Bulk, functional GGA-PBEsol.

Values from the calculation:
Magnetization: 0.0 μB/f.u.
VASP energy: -5.46 eV per atom

Cell and atoms, written as CIF:
```
data_K7Bi9O24
_cell_length_a 17.0263
_cell_length_b 8.3568
_cell_length_c 9.4309
_cell_angle_alpha 90.00
_cell_angle_beta 116.70
_cell_angle_gamma 90.00
_symmetry_space_group_name_H-M 'C 1 2/m 1'
_symmetry_Int_Tables_number 12
loop_
_symmetry_equiv_pos_as_xyz
'x,y,z'
'-x,-y,-z'
'-x,y,-z'
'x,-y,z'
'x+1/2,y+1/2,z'
'-x+1/2,-y+1/2,-z'
'-x+1/2,y+1/2,-z'
'x+1/2,-y+1/2,z'
loop_
_atom_site_label
_atom_site_type_symbol
_atom_site_fract_x
_atom_site_fract_y
_atom_site_fract_z
K1 K 0.0000 0.0000 0.0000
K2 K 0.1282 0.0000 0.4989
K3 K 0.1311 0.5000 0.4997
K4 K 0.2503 0.0000 0.9964
Bi1 Bi 0.0000 0.5000 0.0000
Bi2 Bi 0.0623 0.2528 0.7466
Bi3 Bi 0.1878 0.2525 0.2478
O1 O 0.0000 0.1970 0.5000
O2 O 0.0514 0.5000 0.6920
O3 O 0.0579 0.2944 0.2311
O4 O 0.0681 0.0000 0.7950
O5 O 0.1133 0.3080 0.9963
O6 O 0.1679 0.0000 0.2275
O7 O 0.1919 0.2611 0.7690
O8 O 0.2053 0.5000 0.2738
O9 O 0.2500 0.2500 0.5000
```


[14]
An optimized crystal structure of MnOs2Cl. Source: Alexandria via LeMat-Bulk, functional GGA-PBEsol.

Values from the calculation:
E above lowest polymorph: 359 meV/atom
Magnetization: 2.0 μB/f.u.
VASP energy: -8.32 eV per atom

Cell and atoms, written as CIF:
```
data_MnOs2Cl
_cell_length_a 2.9368
_cell_length_b 2.9368
_cell_length_c 6.5568
_cell_angle_alpha 90.00
_cell_angle_beta 90.00
_cell_angle_gamma 90.00
_symmetry_space_group_name_H-M 'P 4/m m m'
_symmetry_Int_Tables_number 123
_symmetry_space_group_name_Hall '-P 4 2'
loop_
_atom_site_label
_atom_site_type_symbol
_atom_site_fract_x
_atom_site_fract_y
_atom_site_fract_z
Mn1 Mn 0.0000 0.0000 0.0000
Os1 Os 0.5000 0.5000 0.2091
Cl1 Cl 0.0000 0.0000 0.5000
```


[15]
An optimized crystal structure of RbMgN2O. Source: Alexandria via LeMat-Bulk, functional GGA-PBEsol.

Values from the calculation:
Magnetization: 1.9 μB/f.u.
VASP energy: -2.99 eV per atom

Cell and atoms, written as CIF:
```
data_RbMgN2O
_cell_length_a 4.4147
_cell_length_b 4.4147
_cell_length_c 4.3595
_cell_angle_alpha 90.00
_cell_angle_beta 90.00
_cell_angle_gamma 90.00
_symmetry_space_group_name_H-M 'P 4/m m m'
_symmetry_Int_Tables_number 123
_symmetry_space_group_name_Hall '-P 4 2'
loop_
_atom_site_label
_atom_site_type_symbol
_atom_site_fract_x
_atom_site_fract_y
_atom_site_fract_z
Rb1 Rb 0.0000 0.0000 0.0000
Mg1 Mg 0.5000 0.5000 0.5000
N1 N 0.0000 0.5000 0.0000
O1 O 0.0000 0.0000 0.5000
```


[16]
An optimized crystal structure of MnCrTe. Source: Alexandria via LeMat-Bulk, functional GGA-PBEsol.

Values from the calculation:
E above lowest polymorph: 99 meV/atom
Magnetization: 4.7 μB/f.u.
VASP energy: -7.24 eV per atom

Cell and atoms, written as CIF:
```
data_MnCrTe
_cell_length_a 5.9102
_cell_length_b 5.9102
_cell_length_c 5.9102
_cell_angle_alpha 90.00
_cell_angle_beta 90.00
_cell_angle_gamma 90.00
_symmetry_space_group_name_H-M 'F -4 3 m'
_symmetry_Int_Tables_number 216
_symmetry_space_group_name_Hall 'F -4 2 3'
loop_
_atom_site_label
_atom_site_type_symbol
_atom_site_fract_x
_atom_site_fract_y
_atom_site_fract_z
Mn1 Mn 0.0000 0.0000 0.0000
Cr1 Cr 0.0000 0.0000 0.5000
Te1 Te 0.2500 0.2500 0.2500
```


[17]
An optimized crystal structure of LaSi2Pt. Source: Alexandria via LeMat-Bulk, functional GGA-PBEsol.

Values from the calculation:
Magnetization: 0.0 μB/f.u.
VASP energy: -7.04 eV per atom

Cell and atoms, written as CIF:
```
data_LaSi2Pt
_cell_length_a 4.3087
_cell_length_b 16.7497
_cell_length_c 4.2460
_cell_angle_alpha 90.00
_cell_angle_beta 90.00
_cell_angle_gamma 90.00
_symmetry_space_group_name_H-M 'C m c m'
_symmetry_Int_Tables_number 63
_symmetry_space_group_name_Hall '-C 2c 2'
loop_
_atom_site_label
_atom_site_type_symbol
_atom_site_fract_x
_atom_site_fract_y
_atom_site_fract_z
La1 La 0.0000 0.1055 0.2500
Si1 Si 0.0000 0.2492 0.7500
Si2 Si 0.0000 0.4641 0.2500
Pt1 Pt 0.0000 0.3200 0.2500
```


[18]
An optimized crystal structure of BeCrSe2. Source: Alexandria via LeMat-Bulk, functional GGA-PBEsol.

Values from the calculation:
Magnetization: 4.0 μB/f.u.
VASP energy: -5.71 eV per atom

Cell and atoms, written as CIF:
```
data_BeCrSe2
_cell_length_a 3.5457
_cell_length_b 3.5457
_cell_length_c 17.7990
_cell_angle_alpha 90.00
_cell_angle_beta 90.00
_cell_angle_gamma 120.00
_symmetry_space_group_name_H-M 'R -3 m'
_symmetry_Int_Tables_number 166
_symmetry_space_group_name_Hall '-R 3 2"'
loop_
_atom_site_label
_atom_site_type_symbol
_atom_site_fract_x
_atom_site_fract_y
_atom_site_fract_z
Be1 Be 0.0000 0.0000 0.0000
Cr1 Cr 0.0000 0.0000 0.5000
Se1 Se 0.0000 0.0000 0.2570
```


[19]
An optimized crystal structure of SrZrNi. Source: Alexandria via LeMat-Bulk, functional GGA-PBEsol.

Values from the calculation:
Magnetization: 0.0 μB/f.u.
VASP energy: -4.76 eV per atom

Cell and atoms, written as CIF:
```
data_SrZrNi
_cell_length_a 6.4693
_cell_length_b 6.4693
_cell_length_c 6.4693
_cell_angle_alpha 90.00
_cell_angle_beta 90.00
_cell_angle_gamma 90.00
_symmetry_space_group_name_H-M 'F -4 3 m'
_symmetry_Int_Tables_number 216
_symmetry_space_group_name_Hall 'F -4 2 3'
loop_
_atom_site_label
_atom_site_type_symbol
_atom_site_fract_x
_atom_site_fract_y
_atom_site_fract_z
Sr1 Sr 0.0000 0.0000 0.0000
Zr1 Zr 0.2500 0.2500 0.2500
Ni1 Ni 0.0000 0.0000 0.5000
```


[20]
An optimized crystal structure of RbCoS2. Source: Alexandria via LeMat-Bulk, functional GGA-PBEsol.

Values from the calculation:
Magnetization: 0.0 μB/f.u.
VASP energy: -5.05 eV per atom

Cell and atoms, written as CIF:
```
data_RbCoS2
_cell_length_a 6.8309
_cell_length_b 6.8309
_cell_length_c 7.6665
_cell_angle_alpha 90.00
_cell_angle_beta 90.00
_cell_angle_gamma 90.00
_symmetry_space_group_name_H-M 'I -4 2 d'
_symmetry_Int_Tables_number 122
_symmetry_space_group_name_Hall 'I -4 2bw'
loop_
_atom_site_label
_atom_site_type_symbol
_atom_site_fract_x
_atom_site_fract_y
_atom_site_fract_z
Rb1 Rb 0.0000 0.0000 0.0000
Co1 Co 0.0000 0.0000 0.5000
S1 S 0.1137 0.2500 0.6250
```